(1)
DFT (PBE-GGA) results for Li7AgSn4 after structural relaxation.

Cell lengths 7.122, 7.122, 9.905 Å; angles 124.59, 124.59, 40.03 degrees
Fractional coordinates of all 12 atoms:
Li 0.000 0.000 0.000
Li 0.142 0.142 0.588
Li 0.285 0.285 0.138
Li 0.438 0.438 0.671
Li 0.562 0.562 0.329
Li 0.715 0.715 0.862
Li 0.858 0.858 0.412
Ag 0.500 0.500 0.000
Sn 0.067 0.067 0.795
Sn 0.201 0.201 0.354
Sn 0.799 0.799 0.646
Sn 0.933 0.933 0.205

E ... -2.89 eV per atom
Theoretical density ... 4072 kg/m³
N(E_F) ... 2.77 states/eV per cell
Total magnetic moment ... 0.0 μB/cell

***

(2)
DFT (PBE-GGA) results for PmDy2As after structural relaxation.

Cell lengths 9.739, 9.739, 9.739 Å; angles 22.86, 22.86, 22.86 degrees
Fractional coordinates of all 4 atoms:
Pm 0.000 0.000 0.000
Dy 0.228 0.228 0.228
Dy 0.772 0.772 0.772
As 0.500 0.500 0.500

E ... -5.27 eV per atom
Theoretical density ... 7399 kg/m³
N(E_F) ... 3.72 states/eV per cell
Total magnetic moment ... 0.0 μB/cell

***

(3)
DFT (PBE-GGA) results for BaTcMo2 after structural relaxation.

Cell lengths 5.064, 5.064, 6.429 Å; angles 104.47, 104.47, 37.36 degrees
Fractional coordinates of all 4 atoms:
Ba 0.000 0.000 0.000
Tc 0.778 0.778 0.372
Mo 0.204 0.204 0.618
Mo 0.492 0.492 0.488

E ... -7.69 eV per atom
Theoretical density ... 7351 kg/m³
Distance to the lowest polymorph of the same formula ... 104 meV per atom
N(E_F) ... 5.44 states/eV per cell
Total magnetic moment ... 0.0 μB/cell

***

(4)
DFT (PBE-GGA) results for HoTiCuRh after structural relaxation.

Cell lengths 4.632, 4.632, 4.632 Å; angles 60.00, 60.00, 60.00 degrees
Fractional coordinates of all 4 atoms:
Ho 0.000 0.000 0.000
Ti 0.500 0.500 0.500
Cu 0.750 0.750 0.750
Rh 0.250 0.250 0.250

E ... -6.36 eV per atom
Theoretical density ... 8960 kg/m³
N(E_F) ... 3.90 states/eV per cell
Total magnetic moment ... 0.2 μB/cell